Zn3CrN | GGA-PBEsol | optimized geometry

Output
Its final energy is -2.847 eV/atom.

Structure (POSCAR):
```
Zn3CrN
1.0
4.871 0.000 0.000
0.000 4.871 0.000
0.000 0.000 4.871
Cr Zn N
1 3 1
direct
0.000 0.000 0.000
0.000 0.500 0.000
0.000 0.000 0.500
0.500 0.000 0.000
0.500 0.500 0.500
```

=====

ZnCrN2 | GGA-PBEsol | optimized geometry

Output
Its final energy is -7.534 eV/atom.

Structure (POSCAR):
```
ZnCrN2
1.0
-3.367 3.906 0.110
-2.383 -2.179 4.426
3.891 3.250 3.695
Zn Cr N
4 4 8
direct
0.001 0.589 0.878
0.501 0.411 0.122
0.501 0.911 0.378
0.001 0.089 0.622
0.999 0.575 0.373
0.499 0.425 0.627
0.499 0.925 0.873
0.999 0.075 0.127
0.356 0.567 0.389
0.856 0.433 0.611
0.856 0.933 0.889
0.356 0.067 0.111
0.394 0.602 0.861
0.894 0.398 0.139
0.894 0.898 0.361
0.394 0.102 0.639
```

=====

ZnCrN2 | GGA-PBEsol | optimized geometry

Output
Its final energy is -7.542 eV/atom.

Structure (POSCAR):
```
ZnCrN2
1.0
4.452 0.000 0.000
0.000 4.452 0.000
-2.226 -2.226 4.439
Cr Zn N
2 2 4
direct
0.750 0.250 0.500
0.500 0.500 0.000
0.250 0.750 0.500
0.000 0.000 0.000
0.840 0.375 0.250
0.410 0.875 0.250
0.625 0.590 0.750
0.125 0.160 0.750
```

=====

Zr2CrN3 | GGA-PBEsol | optimized geometry

Output
Its final energy is -10.461 eV/atom.

Structure (POSCAR):
```
Zr2CrN3
1.0
3.061 0.000 0.000
0.000 3.545 0.000
-1.530 -1.773 5.968
Cr Zr N
1 2 3
direct
0.000 0.000 0.000
0.351 0.351 0.702
0.649 0.649 0.298
0.000 0.500 0.000
0.169 0.169 0.337
0.831 0.831 0.663
```

=====

Zr3CrN | GGA-PBEsol | optimized geometry

Output
Its final energy is -7.853 eV/atom.

Structure (POSCAR):
```
Zr3CrN
1.0
-1.050 -0.176 -4.525
4.286 -1.537 -0.935
-1.461 -4.383 0.509
Cr Zr N
1 3 1
direct
0.000 0.000 0.000
0.000 0.500 0.000
0.000 0.000 0.500
0.500 0.000 0.000
0.500 0.500 0.500
```

=====

NaCrNiSe2 | GGA-PBEsol | optimized geometry

Output
Its final energy is -4.977 eV/atom.

Structure (POSCAR):
```
NaCrNiSe2
1.0
-1.655 2.658 3.149
-4.276 -0.691 -1.665
-0.507 -3.652 2.818
Ni Na Se Cr
1 1 2 1
direct
0.500 0.000 0.000
0.500 0.500 0.500
0.000 0.000 0.500
0.000 0.500 0.000
0.000 0.000 0.000
```

=====

NaCr3O8 | GGA-PBEsol | optimized geometry

Output
The energy above the most stable polymorph in this dataset is 0.00 eV/f.u. Its final energy is -8.021 eV/atom.

Structure (POSCAR):
```
NaCr3O8
1.0
-2.202 1.205 -4.360
0.442 -3.488 -3.598
-5.795 -2.926 2.084
Na Cr O
1 3 8
direct
0.000 0.000 0.000
0.000 0.000 0.500
0.359 0.359 0.276
0.641 0.641 0.724
0.219 0.219 0.445
0.781 0.781 0.555
0.717 0.717 0.938
0.283 0.283 0.062
0.785 0.274 0.701
0.726 0.215 0.299
0.215 0.726 0.299
0.274 0.785 0.701
```

=====

NaCr4O8 | GGA-PBEsol | optimized geometry

Output
Its final energy is -8.423 eV/atom.

Structure (POSCAR):
```
NaCr4O8
1.0
-0.564 2.702 0.939
-5.760 1.598 -3.531
-4.069 -1.188 5.498
Na Cr O
1 4 8
direct
0.500 0.000 0.000
0.834 0.515 0.817
0.651 0.183 0.515
0.349 0.817 0.485
0.166 0.485 0.183
0.197 0.652 0.954
0.458 0.381 0.704
0.151 0.046 0.652
0.838 0.704 0.619
0.162 0.296 0.381
0.849 0.954 0.348
0.542 0.619 0.296
0.803 0.348 0.046
```

=====

NaCr3O | GGA-PBEsol | optimized geometry

Output
Its final energy is -4.965 eV/atom.

Structure (POSCAR):
```
NaCr3O
1.0
4.902 0.000 0.000
0.000 4.902 0.000
0.000 0.000 4.902
Cr O Na
3 1 1
direct
0.000 0.500 0.000
0.000 0.000 0.500
0.500 0.000 0.000
0.500 0.500 0.500
0.000 0.000 0.000
```

=====

Na2CrO4 | GGA-PBEsol | optimized geometry

Output
Its final energy is -6.752 eV/atom.

Structure (POSCAR):
```
Na2CrO4
1.0
5.551 -0.024 0.268
2.343 5.253 -0.019
2.967 -0.206 7.594
Na Cr O
4 2 8
direct
0.670 0.727 0.129
0.790 0.232 0.423
0.210 0.768 0.577
0.330 0.273 0.871
0.346 0.296 0.238
0.654 0.704 0.762
0.617 0.161 0.051
0.059 0.452 0.194
0.289 0.070 0.375
0.423 0.484 0.329
0.577 0.516 0.671
0.711 0.930 0.625
0.941 0.548 0.806
0.383 0.839 0.949
```

=====

Na3CrO4 | GGA-PBEsol | optimized geometry

Output
Its final energy is -6.248 eV/atom.

Structure (POSCAR):
```
Na3CrO4
1.0
5.555 0.000 0.000
0.000 7.042 0.000
0.000 0.000 12.202
Na Cr O
12 4 16
direct
0.215 0.003 0.837
0.785 0.997 0.163
0.715 0.997 0.663
0.785 0.503 0.163
0.285 0.003 0.337
0.215 0.497 0.837
0.285 0.497 0.337
0.715 0.503 0.663
0.778 0.250 0.927
0.222 0.750 0.073
0.278 0.750 0.573
0.722 0.250 0.427
0.204 0.250 0.590
0.796 0.750 0.410
0.704 0.750 0.910
0.296 0.250 0.090
0.898 0.250 0.592
0.102 0.750 0.408
0.398 0.750 0.908
0.602 0.250 0.092
0.302 0.450 0.656
0.698 0.550 0.344
0.802 0.550 0.844
0.698 0.950 0.344
0.198 0.450 0.156
0.302 0.050 0.656
0.198 0.050 0.156
0.802 0.950 0.844
0.200 0.250 0.957
0.800 0.750 0.043
0.700 0.750 0.543
0.300 0.250 0.457
```

=====

Na2CrO4 | GGA-PBEsol | optimized geometry

Output
Its final energy is -6.760 eV/atom.

Structure (POSCAR):
```
Na2CrO4
1.0
9.184 -0.003 -0.005
-2.774 8.755 -0.005
-2.774 -3.787 7.894
Na Cr O
12 6 24
direct
0.135 0.680 0.958
0.320 0.042 0.865
0.381 0.656 0.746
0.042 0.865 0.320
0.344 0.254 0.619
0.254 0.619 0.344
0.746 0.381 0.656
0.656 0.746 0.381
0.958 0.135 0.680
0.619 0.344 0.254
0.680 0.958 0.135
0.865 0.320 0.042
0.018 0.294 0.442
0.706 0.558 0.982
0.558 0.982 0.706
0.442 0.018 0.294
0.294 0.442 0.018
0.982 0.706 0.558
0.249 0.263 0.862
0.356 0.602 0.972
0.138 0.751 0.737
0.028 0.644 0.398
0.200 0.438 0.479
0.568 0.955 0.878
0.045 0.122 0.432
0.398 0.028 0.644
0.562 0.521 0.800
0.521 0.800 0.562
0.737 0.138 0.751
0.122 0.432 0.045
0.878 0.568 0.955
0.263 0.862 0.249
0.479 0.200 0.438
0.438 0.479 0.200
0.602 0.972 0.356
0.955 0.878 0.568
0.432 0.045 0.122
0.800 0.562 0.521
0.972 0.356 0.602
0.862 0.249 0.263
0.644 0.398 0.028
0.751 0.737 0.138
```

=====

Na2CrO4 | GGA-PBEsol | optimized geometry

Output
Its final energy is -6.784 eV/atom.

Structure (POSCAR):
```
Na2CrO4
1.0
5.453 -0.018 0.000
-2.307 4.941 0.000
0.000 0.000 7.099
Cr O Na
2 8 4
direct
0.854 0.146 0.750
0.146 0.854 0.250
0.250 0.750 0.062
0.750 0.250 0.562
0.750 0.250 0.938
0.250 0.750 0.438
0.189 0.272 0.750
0.811 0.728 0.250
0.728 0.811 0.750
0.272 0.189 0.250
0.184 0.816 0.750
0.816 0.184 0.250
0.500 0.500 0.500
0.500 0.500 0.000
```

=====

NaCr6O11 | GGA-PBEsol | optimized geometry

Output
Its final energy is -8.631 eV/atom.

Structure (POSCAR):
```
NaCr6O11
1.0
5.685 0.000 0.000
-2.843 4.924 0.000
0.000 0.000 12.682
Na Cr O
2 12 22
direct
0.667 0.333 0.749
0.333 0.667 0.249
0.000 0.500 0.999
0.667 0.333 0.249
0.000 0.000 0.854
0.000 0.000 0.645
0.000 0.000 0.354
0.000 0.000 0.145
0.500 0.500 0.999
0.500 0.000 0.999
0.500 0.000 0.499
0.333 0.667 0.749
0.500 0.500 0.499
0.000 0.500 0.499
0.848 0.696 0.249
0.828 0.655 0.579
0.828 0.655 0.920
0.667 0.333 0.086
0.667 0.333 0.412
0.848 0.152 0.249
0.828 0.172 0.579
0.828 0.172 0.920
0.696 0.848 0.749
0.345 0.172 0.920
0.345 0.172 0.579
0.655 0.828 0.079
0.655 0.828 0.420
0.304 0.152 0.249
0.152 0.848 0.749
0.333 0.667 0.912
0.172 0.828 0.420
0.333 0.667 0.586
0.172 0.828 0.079
0.172 0.345 0.420
0.172 0.345 0.079
0.152 0.304 0.749
```

=====

NaCr3O8 | GGA-PBEsol | optimized geometry

Output
The energy above the most stable polymorph in this dataset is 0.40 eV/f.u. Its final energy is -7.987 eV/atom.

Structure (POSCAR):
```
NaCr3O8
1.0
5.460 0.000 0.000
0.000 6.423 0.000
0.000 0.000 8.693
Na Cr O
2 6 16
direct
0.000 0.500 0.000
0.500 0.000 0.500
0.000 0.000 0.000
0.000 0.300 0.661
0.000 0.700 0.339
0.500 0.800 0.839
0.500 0.500 0.500
0.500 0.200 0.161
0.000 0.894 0.211
0.000 0.106 0.789
0.000 0.518 0.744
0.000 0.482 0.256
0.753 0.793 0.951
0.753 0.207 0.049
0.747 0.707 0.451
0.747 0.293 0.549
0.500 0.394 0.289
0.500 0.018 0.756
0.500 0.982 0.244
0.500 0.606 0.711
0.253 0.707 0.451
0.253 0.293 0.549
0.247 0.207 0.049
0.247 0.793 0.951
```

=====

NaCrP2O7 | GGA-PBEsol | optimized geometry

Output
Its final energy is -7.647 eV/atom.

Structure (POSCAR):
```
NaCrP2O7
1.0
-4.129 -5.348 -2.769
4.567 -5.308 3.444
-3.142 2.803 8.486
Na Cr P O
4 4 8 28
direct
0.292 0.476 0.296
0.708 0.976 0.204
0.708 0.524 0.704
0.292 0.024 0.796
0.741 0.993 0.753
0.259 0.493 0.747
0.259 0.007 0.247
0.741 0.507 0.253
0.328 0.710 0.045
0.672 0.210 0.455
0.672 0.290 0.955
0.328 0.790 0.545
0.926 0.754 0.045
0.074 0.254 0.455
0.074 0.246 0.955
0.926 0.746 0.545
0.123 0.649 0.060
0.877 0.149 0.440
0.877 0.351 0.940
0.123 0.851 0.560
0.470 0.585 0.153
0.530 0.085 0.347
0.530 0.415 0.847
0.470 0.915 0.653
0.811 0.634 0.106
0.189 0.134 0.394
0.189 0.366 0.894
0.811 0.866 0.606
0.990 0.918 0.140
0.010 0.418 0.360
0.010 0.082 0.860
0.990 0.582 0.640
0.359 0.898 0.098
0.641 0.398 0.402
0.641 0.102 0.902
0.359 0.602 0.598
0.810 0.786 0.877
0.190 0.286 0.623
0.190 0.214 0.123
0.810 0.714 0.377
0.310 0.701 0.879
0.690 0.201 0.621
0.690 0.299 0.121
0.310 0.799 0.379
```

=====

Calculated uncorrected formation energy (meV per atom), listed in the same order as above: 1855; -315; -323; -1461; 1355; 123; -1844; -1934; 2510; -1890; -1819; -1897; -1921; -1932; -1810; -2195